(1)
# La2YSbRu, relaxed, DFT PBE-GGA
# total DFT energy (no corrections): -32.2 eV for the cell shown
# size of the total moment: 0.000 μB/atom
# symmetry: P4/mmm (123)
data_La2YSbRu
_space_group_name_H-M_alt 'P 1'
_space_group_IT_number 1
_cell_length_a 5.354
_cell_length_b 5.354
_cell_length_c 5.461
_cell_angle_alpha 90.00
_cell_angle_beta 90.00
_cell_angle_gamma 90.00
loop_
_space_group_symop_operation_xyz
'x,y,z'
loop_
_atom_site_label
_atom_site_type_symbol
_atom_site_fract_x
_atom_site_fract_y
_atom_site_fract_z
Y1 Y 0.000 0.000 0.500
Sb1 Sb 0.500 0.500 0.500
Ru1 Ru 0.000 0.000 0.000
La1 La 0.000 0.500 0.000
La2 La 0.500 0.000 0.000


(2)
# La2ZnSbRu, relaxed, DFT PBE-GGA
# total DFT energy (no corrections): -27.1 eV for the cell shown
# size of the total moment: 0.000 μB/atom
# symmetry: P4/mmm (123)
data_La2ZnSbRu
_space_group_name_H-M_alt 'P 1'
_space_group_IT_number 1
_cell_length_a 5.395
_cell_length_b 5.395
_cell_length_c 4.837
_cell_angle_alpha 90.00
_cell_angle_beta 90.00
_cell_angle_gamma 90.00
loop_
_space_group_symop_operation_xyz
'x,y,z'
loop_
_atom_site_label
_atom_site_type_symbol
_atom_site_fract_x
_atom_site_fract_y
_atom_site_fract_z
Sb1 Sb 0.500 0.500 0.500
Zn1 Zn 0.000 0.000 0.500
Ru1 Ru 0.000 0.000 0.000
La1 La 0.000 0.500 0.000
La2 La 0.500 0.000 0.000


(3)
# La2Sc2Ru, relaxed, DFT PBE-GGA
# energy relative to the elements: -0.352 eV/f.u.
# total DFT energy (no corrections): -64.3 eV for the cell shown
# size of the total moment: 0.000 μB/atom
# energy above the most stable polymorph in this dataset: 0.0000 eV per atom
# symmetry: P4/mbm (127)
data_La2Sc2Ru
_space_group_name_H-M_alt 'P 1'
_space_group_IT_number 1
_cell_length_a 6.793
_cell_length_b 6.793
_cell_length_c 5.767
_cell_angle_alpha 90.00
_cell_angle_beta 90.00
_cell_angle_gamma 90.00
loop_
_space_group_symop_operation_xyz
'x,y,z'
loop_
_atom_site_label
_atom_site_type_symbol
_atom_site_fract_x
_atom_site_fract_y
_atom_site_fract_z
Sc1 Sc 0.337 0.837 0.000
Sc2 Sc 0.837 0.663 0.000
Sc3 Sc 0.663 0.163 0.000
Sc4 Sc 0.163 0.337 0.000
Ru1 Ru 0.000 0.000 0.000
Ru2 Ru 0.500 0.500 0.000
La1 La 0.171 0.671 0.500
La2 La 0.671 0.829 0.500
La3 La 0.829 0.329 0.500
La4 La 0.329 0.171 0.500


(4)
# LaSc3Ru, relaxed, DFT PBE-GGA
# energy relative to the elements: 7.023 eV/f.u.
# total DFT energy (no corrections): -26.2 eV for the cell shown
# size of the total moment: 0.000 μB/atom
# energy above the most stable polymorph in this dataset: 1.5932 eV per atom
# symmetry: Pm-3m (221)
data_LaSc3Ru
_space_group_name_H-M_alt 'P 1'
_space_group_IT_number 1
_cell_length_a 5.004
_cell_length_b 5.004
_cell_length_c 5.004
_cell_angle_alpha 90.00
_cell_angle_beta 90.00
_cell_angle_gamma 90.00
loop_
_space_group_symop_operation_xyz
'x,y,z'
loop_
_atom_site_label
_atom_site_type_symbol
_atom_site_fract_x
_atom_site_fract_y
_atom_site_fract_z
Sc1 Sc 0.000 0.500 0.000
Sc2 Sc 0.000 0.000 0.500
Sc3 Sc 0.500 0.000 0.000
Ru1 Ru 0.500 0.500 0.500
La1 La 0.000 0.000 0.000


(5)
# La2ScRu2, relaxed, DFT PBE-GGA
# energy relative to the elements: -0.960 eV/f.u.
# total DFT energy (no corrections): -71.4 eV for the cell shown
# size of the total moment: 0.000 μB/atom
# symmetry: P4/mbm (127)
data_La2ScRu2
_space_group_name_H-M_alt 'P 1'
_space_group_IT_number 1
_cell_length_a 7.341
_cell_length_b 7.341
_cell_length_c 4.374
_cell_angle_alpha 90.00
_cell_angle_beta 90.00
_cell_angle_gamma 90.00
loop_
_space_group_symop_operation_xyz
'x,y,z'
loop_
_atom_site_label
_atom_site_type_symbol
_atom_site_fract_x
_atom_site_fract_y
_atom_site_fract_z
Sc1 Sc 0.000 0.000 0.000
Sc2 Sc 0.500 0.500 0.000
Ru1 Ru 0.371 0.871 0.000
Ru2 Ru 0.871 0.629 0.000
Ru3 Ru 0.629 0.129 0.000
Ru4 Ru 0.129 0.371 0.000
La1 La 0.177 0.677 0.500
La2 La 0.677 0.823 0.500
La3 La 0.823 0.323 0.500
La4 La 0.323 0.177 0.500


(6)
# LaSc2Ru2, relaxed, DFT PBE-GGA
# energy relative to the elements: -1.664 eV/f.u.
# total DFT energy (no corrections): -37.8 eV for the cell shown
# size of the total moment: 0.000 μB/atom
# energy above the most stable polymorph in this dataset: 0.0229 eV per atom
# symmetry: I4/mmm (139)
data_LaSc2Ru2
_space_group_name_H-M_alt 'P 1'
_space_group_IT_number 1
_cell_length_a 4.306
_cell_length_b 4.306
_cell_length_c 6.647
_cell_angle_alpha 71.10
_cell_angle_beta 71.10
_cell_angle_gamma 90.00
loop_
_space_group_symop_operation_xyz
'x,y,z'
loop_
_atom_site_label
_atom_site_type_symbol
_atom_site_fract_x
_atom_site_fract_y
_atom_site_fract_z
Sc1 Sc 0.750 0.250 0.500
Sc2 Sc 0.250 0.750 0.500
Ru1 Ru 0.392 0.392 0.216
Ru2 Ru 0.608 0.608 0.784
La1 La 0.000 0.000 0.000